No. 1
Compound: NpCo12B6
Source: the Alexandria database
Functional: PBE-GGA
Structure: relaxed

extended XYZ file:
```
19
Lattice="4.701 2.714 2.451 -4.701 2.714 2.451 0.000 -5.428 2.451" Properties=species:S:1:pos:R:3 pbc="T T T"
Np 0.000 0.000 0.000
Co -1.727 -2.991 3.676
Co -3.454 0.000 3.676
Co -1.249 -0.721 2.666
Co 1.249 -0.721 2.666
Co 0.000 1.442 2.666
Co 1.727 -2.991 3.676
Co -1.727 2.991 3.676
Co 0.000 -1.442 4.686
Co -1.249 0.721 4.686
Co 1.249 0.721 4.686
Co 3.454 0.000 3.676
Co 1.727 2.991 3.676
B 0.000 -2.418 2.799
B -2.094 1.209 2.799
B -2.094 -1.209 4.553
B 2.094 1.209 2.799
B 2.094 -1.209 4.553
B 0.000 2.418 4.553
```

=====

No. 2
Compound: NpCoB4
Source: the Alexandria database
Functional: PBE-GGA
Structure: relaxed

extended XYZ file:
```
24
Lattice="5.913 0.000 0.000 0.000 11.471 0.000 0.000 0.000 3.325" Properties=species:S:1:pos:R:3 pbc="T T T"
Np 0.752 1.722 0.000
Np 2.205 7.457 0.000
Np 3.709 4.014 0.000
Np 5.161 9.750 0.000
Co 0.781 4.729 0.000
Co 2.175 10.465 0.000
Co 3.738 1.006 0.000
Co 5.132 6.742 0.000
B 0.142 7.924 1.662
B 0.671 6.266 1.662
B 0.808 11.081 1.662
B 1.287 9.342 1.662
B 1.670 3.607 1.662
B 2.148 5.345 1.662
B 2.285 0.530 1.662
B 2.814 2.189 1.662
B 3.099 9.283 1.662
B 3.628 10.941 1.662
B 3.765 6.126 1.662
B 4.244 7.865 1.662
B 4.626 2.129 1.662
B 5.105 0.390 1.662
B 5.242 5.206 1.662
B 5.771 3.547 1.662
```

=====

No. 3
Compound: Np2Co3B12Os
Source: the Alexandria database
Functional: PBE-GGA
Structure: relaxed

extended XYZ file:
```
18
Lattice="2.696 1.557 7.520 -2.696 1.557 7.520 0.000 -3.113 7.520" Properties=species:S:1:pos:R:3 pbc="T T T"
Np 0.000 0.000 3.172
Np 0.000 0.000 19.387
Co -1.348 -0.778 7.520
Co -1.348 0.778 15.039
Co 0.000 1.557 7.520
B 0.000 -1.012 5.940
B -0.876 0.506 5.940
B -1.045 -0.603 9.571
B 0.000 -1.206 12.988
B -1.045 0.603 12.988
B 0.876 0.506 5.940
B -0.876 -0.506 16.619
B 1.045 -0.603 9.571
B 0.000 1.206 9.571
B 1.045 0.603 12.988
B 0.876 -0.506 16.619
B 0.000 1.012 16.619
Os 0.000 0.000 11.279
```

=====

Spin magnetization (μB per cell)
4.37, 12.15, 8.26
Formation energy from the elements (kJ per mole of atoms)
-27.13, -44.28, 12.41
Uncorrected energy (eV/atom)
-7.56, -8.25, -7.57